# 1
DFT (PBE) results for a geometry-optimized AcLaNi structure.

## Properties
Crystal system = orthorhombic
Polymorph energy (0 for the lowest one) = 0.000 eV/atom
ΔH_f (0 K) = -0.21 eV per atom
E = -5.15 eV per atom
Fermi-level density of states = 1.0818 states/eV per atom

Lattice parameters (Å, degrees): 7.5891 7.5891 7.5891 149.99 122.10 66.59
Sites, in units of the cell vectors:
Ac1 0.2238 0.2238 0.0000
Ac2 0.7762 0.7762 0.0000
La1 0.2625 0.5000 0.7625
La2 0.7375 0.5000 0.2375
Ni1 0.3964 0.8964 0.5000
Ni2 0.6036 0.1036 0.5000

***

# 2
DFT (PBE) results for a geometry-optimized MgBe2Re2 structure.

## Properties
Crystal system = tetragonal
Polymorph energy (0 for the lowest one) = 0.243 eV/atom
ΔH_f (0 K) = 0.29 eV per atom
E = -6.50 eV per atom
Fermi-level density of states = 0.7147 states/eV per atom

Lattice parameters (Å, degrees): 7.2468 7.2468 2.6103 90.00 90.00 90.00
Sites, in units of the cell vectors:
Mg1 0.0000 0.0000 0.0000
Mg2 0.5000 0.5000 0.0000
Be1 0.1738 0.3262 0.5000
Be2 0.3262 0.8262 0.5000
Be3 0.6738 0.1738 0.5000
Be4 0.8262 0.6738 0.5000
Re1 0.1224 0.6224 0.0000
Re2 0.3776 0.1224 0.0000
Re3 0.6224 0.8776 0.0000
Re4 0.8776 0.3776 0.0000

***

# 3
DFT (PBE) results for a geometry-optimized Ni2AsBr2 structure.

## Properties
Crystal system = tetragonal
Polymorph energy (0 for the lowest one) = 0.231 eV/atom
E = -3.21 eV per atom
Fermi-level density of states = 0.9016 states/eV per atom
Formation energy from raw total energies = 16.25 kcal/mol of atoms

Lattice parameters (Å, degrees): 5.9657 5.9657 5.9657 137.53 137.53 61.62
Sites, in units of the cell vectors:
Ni1 0.1167 0.1167 0.0000
Ni2 0.8833 0.8833 0.0000
As1 0.5000 0.5000 0.0000
Br1 0.2500 0.7500 0.5000
Br2 0.7500 0.2500 0.5000

***

# 4
DFT (PBE) results for a geometry-optimized Pm2Al4CuPd3 structure.

## Properties
Crystal system = tetragonal
ΔH_f (0 K) = -0.75 eV per atom
E = -5.16 eV per atom
Fermi-level density of states = 0.6995 states/eV per atom

Lattice parameters (Å, degrees): 4.3910 4.3910 9.9028 90.00 90.00 90.00
Sites, in units of the cell vectors:
Pm1 0.0000 0.5000 0.2448
Pm2 0.5000 0.0000 0.7552
Al1 0.0000 0.0000 0.5000
Al2 0.0000 0.5000 0.8793
Al3 0.5000 0.0000 0.1207
Al4 0.5000 0.5000 0.5000
Cu1 0.5000 0.5000 0.0000
Pd1 0.0000 0.0000 0.0000
Pd2 0.0000 0.5000 0.6303
Pd3 0.5000 0.0000 0.3697

***

# 5
DFT (PBE) results for a geometry-optimized TlSi2Pb structure.

## Properties
Crystal system = cubic
Polymorph energy (0 for the lowest one) = 0.437 eV/atom
E = -3.60 eV per atom
Fermi-level density of states = 0.5822 states/eV per atom
Formation energy from raw total energies = 14.58 kcal/mol of atoms

Lattice parameters (Å, degrees): 5.1117 5.1117 5.1117 60.00 60.00 60.00
Sites, in units of the cell vectors:
Tl1 0.0000 0.0000 0.0000
Si1 0.2500 0.2500 0.2500
Si2 0.7500 0.7500 0.7500
Pb1 0.5000 0.5000 0.5000

***

# 6
DFT (PBE) results for a geometry-optimized TbSmBiSe structure.

## Properties
Crystal system = trigonal
E = -5.40 eV per atom
Fermi-level density of states = 0.5506 states/eV per atom
Formation energy from raw total energies = -28.14 kcal/mol of atoms

Lattice parameters (Å, degrees): 7.9927 7.9927 7.9927 30.66 30.66 30.66
Sites, in units of the cell vectors:
Tb1 0.0000 0.0000 0.0000
Sm1 0.8369 0.8369 0.8369
Bi1 0.4159 0.4159 0.4159
Se1 0.5885 0.5885 0.5885